The following is a PBE-GGA calculation of Ta2VMo after structural relaxation, from Alexandria via LeMat-Bulk.

* spin magnetization: 0.00 Bohr magnetons per cell
* V: 65.7 Å³/f.u.
* formation enthalpy at 0 K: -0.36 eV per formula unit
* energy above the most stable polymorph in this dataset: 0.000 eV per atom
* E_tot: -44.02 eV for the cell shown

Geometry as POSCAR:
```
Ta2VMo
1.0
3.2065 0.0000 0.0000
0.0000 3.2065 0.0000
0.0000 0.0000 6.3864
Ta V Mo
2 1 1
Direct
0.0000 0.0000 0.2481
0.0000 0.0000 0.7519
0.5000 0.5000 0.0000
0.5000 0.5000 0.5000
```